(1)
A plane-wave DFT calculation with PBE-GGA was carried out for an optimized crystal structure of AlHCl3.

Summary:
ΔE to the lowest computed polymorph: 250.2 meV per atom
space group: Pm-3m, No. 221
uncorrected energy: -3.03 eV per atom

Cell lengths 4.689, 4.689, 4.689 Å; angles 90.00, 90.00, 90.00 degrees
Fractional coordinates of all 5 atoms:
Al 0.000 0.000 0.000
H 0.500 0.500 0.500
Cl 0.000 0.000 0.500
Cl 0.000 0.500 0.000
Cl 0.500 0.000 0.000

(2)
A plane-wave DFT calculation with PBE-GGA was carried out for an optimized crystal structure of HfAlHCl2.

Summary:
space group: P4/mmm, No. 123
uncorrected energy: -4.18 eV per atom

Cell lengths 4.829, 4.829, 5.802 Å; angles 90.00, 90.00, 90.00 degrees
Fractional coordinates of all 5 atoms:
Hf 0.000 0.000 0.000
Al 0.000 0.000 0.500
H 0.500 0.500 0.500
Cl 0.000 0.500 0.000
Cl 0.500 0.000 0.000

(3)
A plane-wave DFT calculation with PBE-GGA was carried out for an optimized crystal structure of AlH2I2Cl2.

Summary:
space group: C2/m, No. 12
uncorrected energy: -2.97 eV per atom

Cell lengths 6.586, 6.586, 9.764 Å; angles 126.45, 126.45, 35.70 degrees
Fractional coordinates of all 7 atoms:
Al 0.000 0.000 0.000
H 0.484 0.484 0.522
H 0.516 0.516 0.478
I 0.299 0.299 0.892
I 0.701 0.701 0.108
Cl 0.073 0.073 0.268
Cl 0.927 0.927 0.732

(4)
A plane-wave DFT calculation with PBE-GGA was carried out for an optimized crystal structure of Al2HIrCl.

Summary:
space group: P4/mmm, No. 123
uncorrected energy: -4.17 eV per atom

Cell lengths 4.793, 4.793, 3.233 Å; angles 90.00, 90.00, 90.00 degrees
Fractional coordinates of all 5 atoms:
Al 0.000 0.500 0.000
Al 0.500 0.000 0.000
H 0.000 0.000 0.000
Ir 0.000 0.000 0.500
Cl 0.500 0.500 0.500

(5)
A plane-wave DFT calculation with PBE-GGA was carried out for an optimized crystal structure of LiAl2H6ClO6.

Summary:
space group: P6_3/mcm, No. 193
uncorrected energy: -5.61 eV per atom

Cell lengths 5.165, 5.165, 14.226 Å; angles 90.00, 90.00, 120.00 degrees
Fractional coordinates of all 32 atoms:
Li 0.000 0.000 0.000
Li 0.000 0.000 0.500
Al 0.333 0.667 0.000
Al 0.333 0.667 0.500
Al 0.667 0.333 0.000
Al 0.667 0.333 0.500
H 0.000 0.313 0.135
H 0.000 0.313 0.365
H 0.000 0.687 0.635
H 0.000 0.687 0.865
H 0.313 0.000 0.135
H 0.313 0.000 0.365
H 0.313 0.313 0.635
H 0.313 0.313 0.865
H 0.687 0.000 0.635
H 0.687 0.000 0.865
H 0.687 0.687 0.135
H 0.687 0.687 0.365
Cl 0.000 0.000 0.250
Cl 0.000 0.000 0.750
O 0.000 0.368 0.069
O 0.000 0.368 0.431
O 0.000 0.632 0.569
O 0.000 0.632 0.931
O 0.368 0.000 0.069
O 0.368 0.000 0.431
O 0.368 0.368 0.569
O 0.368 0.368 0.931
O 0.632 0.000 0.569
O 0.632 0.000 0.931
O 0.632 0.632 0.069
O 0.632 0.632 0.431

(6)
A plane-wave DFT calculation with PBE-GGA was carried out for an optimized crystal structure of AlH15N5Cl3.

Summary:
space group: Pnma, No. 62
uncorrected energy: -4.91 eV per atom

Cell lengths 13.808, 10.713, 6.612 Å; angles 90.00, 90.00, 90.00 degrees
Fractional coordinates of all 96 atoms:
Al 0.092 0.250 0.199
Al 0.408 0.750 0.699
Al 0.592 0.250 0.301
Al 0.908 0.750 0.801
H 0.006 0.250 0.565
H 0.019 0.027 0.212
H 0.019 0.473 0.212
H 0.058 0.673 0.606
H 0.058 0.827 0.606
H 0.118 0.020 0.072
H 0.118 0.480 0.072
H 0.126 0.021 0.321
H 0.126 0.479 0.321
H 0.186 0.172 0.884
H 0.186 0.328 0.884
H 0.189 0.172 0.513
H 0.189 0.328 0.513
H 0.233 0.750 0.873
H 0.236 0.750 0.525
H 0.264 0.250 0.025
H 0.267 0.250 0.373
H 0.311 0.672 0.013
H 0.311 0.828 0.013
H 0.314 0.672 0.384
H 0.314 0.828 0.384
H 0.374 0.521 0.821
H 0.374 0.979 0.821
H 0.382 0.520 0.572
H 0.382 0.980 0.572
H 0.442 0.173 0.106
H 0.442 0.327 0.106
H 0.481 0.527 0.712
H 0.481 0.973 0.712
H 0.494 0.750 0.065
H 0.506 0.250 0.935
H 0.519 0.027 0.288
H 0.519 0.473 0.288
H 0.558 0.673 0.894
H 0.558 0.827 0.894
H 0.618 0.020 0.428
H 0.618 0.480 0.428
H 0.626 0.021 0.179
H 0.626 0.479 0.179
H 0.686 0.172 0.616
H 0.686 0.328 0.616
H 0.689 0.172 0.987
H 0.689 0.328 0.987
H 0.733 0.750 0.627
H 0.736 0.750 0.975
H 0.764 0.250 0.475
H 0.767 0.250 0.127
H 0.811 0.672 0.487
H 0.811 0.828 0.487
H 0.814 0.672 0.116
H 0.814 0.828 0.116
H 0.874 0.521 0.679
H 0.874 0.979 0.679
H 0.882 0.520 0.928
H 0.882 0.980 0.928
H 0.942 0.173 0.394
H 0.942 0.327 0.394
H 0.981 0.527 0.788
H 0.981 0.973 0.788
H 0.994 0.750 0.435
N 0.014 0.750 0.586
N 0.090 0.059 0.201
N 0.090 0.441 0.201
N 0.194 0.250 0.975
N 0.196 0.250 0.421
N 0.304 0.750 0.921
N 0.306 0.750 0.475
N 0.410 0.559 0.701
N 0.410 0.941 0.701
N 0.486 0.250 0.086
N 0.514 0.750 0.914
N 0.590 0.059 0.299
N 0.590 0.441 0.299
N 0.694 0.250 0.525
N 0.696 0.250 0.079
N 0.804 0.750 0.579
N 0.806 0.750 0.025
N 0.910 0.559 0.799
N 0.910 0.941 0.799
N 0.986 0.250 0.414
Cl 0.028 0.750 0.053
Cl 0.153 0.506 0.690
Cl 0.153 0.994 0.690
Cl 0.347 0.006 0.190
Cl 0.347 0.494 0.190
Cl 0.472 0.250 0.553
Cl 0.528 0.750 0.447
Cl 0.653 0.506 0.810
Cl 0.653 0.994 0.810
Cl 0.847 0.006 0.310
Cl 0.847 0.494 0.310
Cl 0.972 0.250 0.947

(7)
A plane-wave DFT calculation with PBE-GGA was carried out for an optimized crystal structure of NaAl2H18S4N4ClO18.

Summary:
space group: I4_1/acd, No. 142
uncorrected energy: -5.62 eV per atom

Cell lengths 14.252, 14.252, 14.252 Å; angles 98.96, 98.96, 133.51 degrees
Fractional coordinates of all 192 atoms:
Na 0.125 0.875 0.250
Na 0.375 0.625 0.750
Na 0.625 0.375 0.250
Na 0.875 0.125 0.750
Al 0.071 0.821 0.643
Al 0.179 0.321 0.250
Al 0.321 0.571 0.143
Al 0.429 0.071 0.750
Al 0.571 0.929 0.250
Al 0.679 0.429 0.857
Al 0.821 0.679 0.750
Al 0.929 0.179 0.357
H 0.011 0.454 0.882
H 0.027 0.665 0.382
H 0.040 0.750 0.790
H 0.046 0.489 0.618
H 0.072 0.129 0.618
H 0.089 0.657 0.488
H 0.100 0.168 0.512
H 0.119 0.631 0.380
H 0.129 0.011 0.057
H 0.131 0.619 0.880
H 0.145 0.282 0.618
H 0.157 0.589 0.988
H 0.165 0.527 0.882
H 0.168 0.157 0.068
H 0.218 0.355 0.882
H 0.240 0.251 0.620
H 0.249 0.260 0.880
H 0.250 0.040 0.790
H 0.250 0.540 0.290
H 0.251 0.131 0.012
H 0.260 0.881 0.012
H 0.282 0.165 0.138
H 0.332 0.400 0.988
H 0.335 0.218 0.362
H 0.343 0.332 0.432
H 0.355 0.973 0.138
H 0.369 0.249 0.488
H 0.371 0.428 0.882
H 0.381 0.760 0.512
H 0.400 0.911 0.068
H 0.411 0.900 0.568
H 0.428 0.046 0.057
H 0.454 0.072 0.443
H 0.460 0.250 0.710
H 0.473 0.855 0.638
H 0.489 0.371 0.443
H 0.511 0.629 0.557
H 0.527 0.145 0.362
H 0.540 0.750 0.290
H 0.546 0.928 0.557
H 0.572 0.954 0.943
H 0.589 0.100 0.432
H 0.600 0.089 0.932
H 0.619 0.240 0.488
H 0.629 0.572 0.118
H 0.631 0.751 0.512
H 0.645 0.027 0.862
H 0.657 0.668 0.568
H 0.665 0.782 0.638
H 0.668 0.600 0.012
H 0.718 0.835 0.862
H 0.740 0.119 0.988
H 0.749 0.869 0.988
H 0.750 0.460 0.710
H 0.750 0.960 0.210
H 0.751 0.740 0.120
H 0.760 0.749 0.380
H 0.782 0.645 0.118
H 0.832 0.843 0.932
H 0.835 0.473 0.118
H 0.843 0.411 0.012
H 0.855 0.718 0.382
H 0.869 0.381 0.120
H 0.871 0.989 0.943
H 0.881 0.369 0.620
H 0.900 0.832 0.488
H 0.911 0.343 0.512
H 0.928 0.871 0.382
H 0.954 0.511 0.382
H 0.960 0.250 0.210
H 0.973 0.335 0.618
H 0.989 0.546 0.118
S 0.009 0.036 0.279
S 0.036 0.257 0.026
S 0.231 0.757 0.721
S 0.243 0.464 0.474
S 0.257 0.731 0.221
S 0.269 0.991 0.526
S 0.464 0.491 0.221
S 0.491 0.769 0.026
S 0.509 0.231 0.974
S 0.536 0.509 0.779
S 0.731 0.009 0.474
S 0.743 0.269 0.779
S 0.757 0.536 0.526
S 0.769 0.243 0.279
S 0.964 0.743 0.974
S 0.991 0.964 0.721
N 0.050 0.616 0.409
N 0.116 0.550 0.909
N 0.140 0.207 0.591
N 0.207 0.116 0.067
N 0.293 0.360 0.909
N 0.360 0.950 0.067
N 0.384 0.293 0.433
N 0.450 0.860 0.567
N 0.550 0.140 0.433
N 0.616 0.707 0.567
N 0.640 0.050 0.933
N 0.707 0.640 0.091
N 0.793 0.884 0.933
N 0.860 0.793 0.409
N 0.884 0.450 0.091
N 0.950 0.384 0.591
Cl 0.125 0.375 0.750
Cl 0.375 0.125 0.250
Cl 0.625 0.875 0.750
Cl 0.875 0.625 0.250
O 0.007 0.905 0.635
O 0.013 0.250 0.263
O 0.024 0.844 0.075
O 0.051 0.976 0.320
O 0.066 0.755 0.945
O 0.095 0.230 0.103
O 0.099 0.345 0.471
O 0.121 0.066 0.811
O 0.127 0.155 0.254
O 0.127 0.873 0.529
O 0.128 0.730 0.635
O 0.155 0.401 0.029
O 0.156 0.732 0.180
O 0.190 0.745 0.811
O 0.230 0.628 0.135
O 0.232 0.656 0.680
O 0.245 0.690 0.311
O 0.250 0.487 0.237
O 0.250 0.987 0.737
O 0.255 0.566 0.445
O 0.268 0.949 0.425
O 0.270 0.405 0.397
O 0.310 0.121 0.555
O 0.344 0.524 0.575
O 0.345 0.373 0.246
O 0.372 0.007 0.603
O 0.373 0.627 0.029
O 0.373 0.901 0.746
O 0.379 0.190 0.945
O 0.401 0.873 0.246
O 0.405 0.507 0.135
O 0.434 0.379 0.689
O 0.449 0.768 0.925
O 0.476 0.551 0.820
O 0.487 0.750 0.237
O 0.493 0.128 0.897
O 0.507 0.872 0.103
O 0.513 0.250 0.763
O 0.524 0.449 0.180
O 0.551 0.232 0.075
O 0.566 0.621 0.311
O 0.595 0.493 0.865
O 0.599 0.127 0.754
O 0.621 0.810 0.055
O 0.627 0.099 0.254
O 0.627 0.373 0.971
O 0.628 0.993 0.397
O 0.655 0.627 0.754
O 0.656 0.476 0.425
O 0.690 0.879 0.445
O 0.730 0.595 0.603
O 0.732 0.051 0.575
O 0.745 0.434 0.555
O 0.750 0.013 0.263
O 0.750 0.513 0.763
O 0.755 0.310 0.689
O 0.768 0.344 0.320
O 0.770 0.372 0.865
O 0.810 0.255 0.189
O 0.844 0.268 0.820
O 0.845 0.599 0.971
O 0.872 0.270 0.365
O 0.873 0.127 0.471
O 0.873 0.845 0.746
O 0.879 0.934 0.189
O 0.901 0.655 0.529
O 0.905 0.770 0.897
O 0.934 0.245 0.055
O 0.949 0.024 0.680
O 0.976 0.156 0.925
O 0.987 0.750 0.737
O 0.993 0.095 0.365

(8)
A plane-wave DFT calculation with PBE-GGA was carried out for an optimized crystal structure of AlH6ClO4.

Summary:
space group: C2/c, No. 15
uncorrected energy: -5.23 eV per atom

Cell lengths 8.019, 8.019, 5.193 Å; angles 107.82, 107.82, 113.78 degrees
Fractional coordinates of all 24 atoms:
Al 0.050 0.950 0.750
Al 0.950 0.050 0.250
H 0.116 0.418 0.285
H 0.128 0.697 0.900
H 0.174 0.325 0.838
H 0.303 0.872 0.600
H 0.325 0.174 0.338
H 0.418 0.116 0.785
H 0.582 0.884 0.215
H 0.675 0.826 0.662
H 0.697 0.128 0.400
H 0.826 0.675 0.162
H 0.872 0.303 0.100
H 0.884 0.582 0.715
Cl 0.335 0.665 0.250
Cl 0.665 0.335 0.750
O 0.015 0.687 0.737
O 0.102 0.179 0.681
O 0.179 0.102 0.181
O 0.313 0.985 0.763
O 0.687 0.015 0.237
O 0.821 0.898 0.819
O 0.898 0.821 0.319
O 0.985 0.313 0.263